# SrMnBi2 PBE relaxed
data_SrMnBi2
_cell_length_a 5.234
_cell_length_b 5.234
_cell_length_c 5.234
_cell_angle_alpha 60.00
_cell_angle_beta 60.00
_cell_angle_gamma 60.00
_symmetry_space_group_name_H-M 'P 1'
_symmetry_Int_Tables_number 1
_symmetry_space_group_name_Hall 'P 1'
loop_
_atom_site_label
_atom_site_fract_x
_atom_site_fract_y
_atom_site_fract_z
_atom_site_occupancy
Sr1 0.000 0.000 0.000 1
Mn1 0.500 0.500 0.500 1
Bi1 0.250 0.250 0.250 1
Bi2 0.750 0.750 0.750 1
# Space-group type: Fm-3m (225)
# Total energy in eV/cell: -17.077
# ΔE_f in kJ/mol of atoms: 37.1
# Magnetization in μB per formula unit: 0.0
# Offset from the most stable computed form in eV/atom: 0.647



# K8Na2Br PBE relaxed
data_K8Na2Br
_cell_length_a 12.257
_cell_length_b 12.257
_cell_length_c 8.495
_cell_angle_alpha 109.89
_cell_angle_beta 109.89
_cell_angle_gamma 32.57
_symmetry_space_group_name_H-M 'P 1'
_symmetry_Int_Tables_number 1
_symmetry_space_group_name_Hall 'P 1'
loop_
_atom_site_label
_atom_site_fract_x
_atom_site_fract_y
_atom_site_fract_z
_atom_site_occupancy
K1 0.013 0.013 0.271 1
K2 0.215 0.215 0.791 1
K3 0.361 0.361 0.539 1
K4 0.411 0.411 0.088 1
K5 0.589 0.589 0.912 1
K6 0.639 0.639 0.461 1
K7 0.785 0.785 0.209 1
K8 0.987 0.987 0.729 1
Na1 0.175 0.175 0.220 1
Na2 0.825 0.825 0.780 1
Br1 0.500 0.500 0.500 1
# Space-group type: C2/m (12)
# Total energy in eV/cell: -15.839
# Magnetization in μB per formula unit: 0.0



# LaErGa2Ni2 PBE relaxed
data_LaErGa2Ni2
_cell_length_a 4.337
_cell_length_b 4.337
_cell_length_c 7.255
_cell_angle_alpha 90.00
_cell_angle_beta 90.00
_cell_angle_gamma 120.00
_symmetry_space_group_name_H-M 'P 1'
_symmetry_Int_Tables_number 1
_symmetry_space_group_name_Hall 'P 1'
loop_
_atom_site_label
_atom_site_fract_x
_atom_site_fract_y
_atom_site_fract_z
_atom_site_occupancy
La1 0.000 0.000 0.000 1
Er1 0.000 0.000 0.500 1
Ga1 0.333 0.667 0.282 1
Ga2 0.667 0.333 0.718 1
Ni1 0.333 0.667 0.714 1
Ni2 0.667 0.333 0.286 1
# Space-group type: P-3m1 (164)
# Total energy in eV/cell: -30.612
# ΔE_f in kJ/mol of atoms: -56.4
# Magnetization in μB per formula unit: 0.0



# K3Sn5Cl3F10 PBE relaxed
data_K3Sn5Cl3F10
_cell_length_a 10.208
_cell_length_b 10.208
_cell_length_c 20.889
_cell_angle_alpha 90.00
_cell_angle_beta 90.00
_cell_angle_gamma 155.25
_symmetry_space_group_name_H-M 'P 1'
_symmetry_Int_Tables_number 1
_symmetry_space_group_name_Hall 'P 1'
loop_
_atom_site_label
_atom_site_fract_x
_atom_site_fract_y
_atom_site_fract_z
_atom_site_occupancy
K1 0.000 0.000 0.000 1
K2 0.000 0.000 0.500 1
K3 0.443 0.557 0.662 1
K4 0.443 0.557 0.838 1
K5 0.557 0.443 0.162 1
K6 0.557 0.443 0.338 1
Sn1 0.126 0.874 0.649 1
Sn2 0.126 0.874 0.851 1
Sn3 0.198 0.802 0.250 1
Sn4 0.329 0.671 0.501 1
Sn5 0.329 0.671 0.999 1
Sn6 0.671 0.329 0.001 1
Sn7 0.671 0.329 0.499 1
Sn8 0.802 0.198 0.750 1
Sn9 0.874 0.126 0.149 1
Sn10 0.874 0.126 0.351 1
Cl1 0.181 0.819 0.113 1
Cl2 0.181 0.819 0.387 1
Cl3 0.421 0.579 0.250 1
Cl4 0.579 0.421 0.750 1
Cl5 0.819 0.181 0.613 1
Cl6 0.819 0.181 0.887 1
F1 0.025 0.975 0.627 1
F2 0.025 0.975 0.873 1
F3 0.092 0.908 0.250 1
F4 0.143 0.857 0.538 1
F5 0.143 0.857 0.962 1
F6 0.331 0.669 0.750 1
F7 0.374 0.626 0.102 1
F8 0.374 0.626 0.398 1
F9 0.427 0.573 0.533 1
F10 0.427 0.573 0.967 1
F11 0.573 0.427 0.033 1
F12 0.573 0.427 0.467 1
F13 0.626 0.374 0.602 1
F14 0.626 0.374 0.898 1
F15 0.669 0.331 0.250 1
F16 0.857 0.143 0.038 1
F17 0.857 0.143 0.462 1
F18 0.908 0.092 0.750 1
F19 0.975 0.025 0.127 1
F20 0.975 0.025 0.373 1
# Space-group type: Cmcm (63)
# Total energy in eV/cell: -188.170
# Magnetization in μB per formula unit: 0.0



# Ac2NdTmP4 PBE relaxed
data_Ac2NdTmP4
_cell_length_a 7.365
_cell_length_b 4.256
_cell_length_c 7.380
_cell_angle_alpha 90.00
_cell_angle_beta 109.42
_cell_angle_gamma 90.00
_symmetry_space_group_name_H-M 'P 1'
_symmetry_Int_Tables_number 1
_symmetry_space_group_name_Hall 'P 1'
loop_
_atom_site_label
_atom_site_fract_x
_atom_site_fract_y
_atom_site_fract_z
_atom_site_occupancy
Ac1 0.000 0.000 0.000 1
Ac2 0.500 0.500 0.000 1
Nd1 0.000 0.500 0.500 1
Tm1 0.500 0.000 0.500 1
P1 0.250 0.000 0.731 1
P2 0.263 0.500 0.272 1
P3 0.737 0.500 0.728 1
P4 0.750 0.000 0.269 1
# Space-group type: P2/m (10)
# Total energy in eV/cell: -50.863
# ΔE_f in kJ/mol of atoms: -141.9
# Magnetization in μB per formula unit: 0.0



# Mg3TlHg2 PBE relaxed
data_Mg3TlHg2
_cell_length_a 3.615
_cell_length_b 3.615
_cell_length_c 10.331
_cell_angle_alpha 90.00
_cell_angle_beta 90.00
_cell_angle_gamma 90.00
_symmetry_space_group_name_H-M 'P 1'
_symmetry_Int_Tables_number 1
_symmetry_space_group_name_Hall 'P 1'
loop_
_atom_site_label
_atom_site_fract_x
_atom_site_fract_y
_atom_site_fract_z
_atom_site_occupancy
Mg1 0.000 0.000 0.000 1
Mg2 0.000 0.000 0.316 1
Mg3 0.000 0.000 0.684 1
Tl1 0.500 0.500 0.500 1
Hg1 0.500 0.500 0.161 1
Hg2 0.500 0.500 0.839 1
# Space-group type: P4/mmm (123)
# Total energy in eV/cell: -8.706
# ΔE_f in kJ/mol of atoms: -15.3
# Magnetization in μB per formula unit: 0.0



# Er2ThZn3 PBE relaxed
data_Er2ThZn3
_cell_length_a 3.553
_cell_length_b 3.553
_cell_length_c 10.896
_cell_angle_alpha 90.00
_cell_angle_beta 90.00
_cell_angle_gamma 90.00
_symmetry_space_group_name_H-M 'P 1'
_symmetry_Int_Tables_number 1
_symmetry_space_group_name_Hall 'P 1'
loop_
_atom_site_label
_atom_site_fract_x
_atom_site_fract_y
_atom_site_fract_z
_atom_site_occupancy
Er1 0.000 0.000 0.161 1
Er2 0.000 0.000 0.839 1
Th1 0.000 0.000 0.500 1
Zn1 0.500 0.500 0.000 1
Zn2 0.500 0.500 0.316 1
Zn3 0.500 0.500 0.684 1
# Space-group type: P4/mmm (123)
# Total energy in eV/cell: -22.067
# ΔE_f in kJ/mol of atoms: -27.3
# Magnetization in μB per formula unit: 0.0
# Offset from the most stable computed form in eV/atom: 0.000



# La5Tl2Os PBE relaxed
data_La5Tl2Os
_cell_length_a 8.350
_cell_length_b 12.652
_cell_length_c 4.871
_cell_angle_alpha 90.00
_cell_angle_beta 90.00
_cell_angle_gamma 90.00
_symmetry_space_group_name_H-M 'P 1'
_symmetry_Int_Tables_number 1
_symmetry_space_group_name_Hall 'P 1'
loop_
_atom_site_label
_atom_site_fract_x
_atom_site_fract_y
_atom_site_fract_z
_atom_site_occupancy
La1 0.000 0.000 0.000 1
La2 0.137 0.302 0.000 1
La3 0.183 0.567 0.500 1
La4 0.317 0.067 0.500 1
La5 0.363 0.802 0.000 1
La6 0.500 0.500 0.000 1
La7 0.637 0.198 0.000 1
La8 0.683 0.933 0.500 1
La9 0.817 0.433 0.500 1
La10 0.863 0.698 0.000 1
Tl1 0.075 0.831 0.500 1
Tl2 0.425 0.331 0.500 1
Tl3 0.575 0.669 0.500 1
Tl4 0.925 0.169 0.500 1
Os1 0.000 0.500 0.000 1
Os2 0.500 0.000 0.000 1
# Space-group type: Pbam (55)
# Total energy in eV/cell: -86.440
# ΔE_f in kJ/mol of atoms: -31.6
# Magnetization in μB per formula unit: 0.0
# Offset from the most stable computed form in eV/atom: 0.000



# ZrCuReN2 PBE relaxed
data_ZrCuReN2
_cell_length_a 4.080
_cell_length_b 4.080
_cell_length_c 5.379
_cell_angle_alpha 90.00
_cell_angle_beta 90.00
_cell_angle_gamma 90.00
_symmetry_space_group_name_H-M 'P 1'
_symmetry_Int_Tables_number 1
_symmetry_space_group_name_Hall 'P 1'
loop_
_atom_site_label
_atom_site_fract_x
_atom_site_fract_y
_atom_site_fract_z
_atom_site_occupancy
Zr1 0.000 0.000 0.000 1
Cu1 0.500 0.500 0.500 1
Re1 0.000 0.000 0.500 1
N1 0.000 0.500 0.000 1
N2 0.500 0.000 0.000 1
# Space-group type: P4/mmm (123)
# Total energy in eV/cell: -32.739
# Magnetization in μB per formula unit: 0.0



# Eu3P4Pt4 PBE relaxed
data_Eu3P4Pt4
_cell_length_a 9.610
_cell_length_b 9.610
_cell_length_c 6.855
_cell_angle_alpha 109.30
_cell_angle_beta 109.30
_cell_angle_gamma 24.75
_symmetry_space_group_name_H-M 'P 1'
_symmetry_Int_Tables_number 1
_symmetry_space_group_name_Hall 'P 1'
loop_
_atom_site_label
_atom_site_fract_x
_atom_site_fract_y
_atom_site_fract_z
_atom_site_occupancy
Eu1 0.000 0.000 0.000 1
Eu2 0.249 0.249 0.255 1
Eu3 0.751 0.751 0.745 1
P1 0.137 0.137 0.815 1
P2 0.383 0.383 0.703 1
P3 0.617 0.617 0.297 1
P4 0.863 0.863 0.185 1
Pt1 0.126 0.126 0.467 1
Pt2 0.375 0.375 0.036 1
Pt3 0.625 0.625 0.964 1
Pt4 0.874 0.874 0.533 1
# Space-group type: C2/m (12)
# Total energy in eV/cell: -86.925
# ΔE_f in kJ/mol of atoms: -90.3
# Magnetization in μB per formula unit: 6.7



# HoIn2Ge PBE relaxed
data_HoIn2Ge
_cell_length_a 4.340
_cell_length_b 4.340
_cell_length_c 4.913
_cell_angle_alpha 90.00
_cell_angle_beta 90.00
_cell_angle_gamma 90.00
_symmetry_space_group_name_H-M 'P 1'
_symmetry_Int_Tables_number 1
_symmetry_space_group_name_Hall 'P 1'
loop_
_atom_site_label
_atom_site_fract_x
_atom_site_fract_y
_atom_site_fract_z
_atom_site_occupancy
Ho1 0.000 0.000 0.000 1
In1 0.000 0.500 0.500 1
In2 0.500 0.000 0.500 1
Ge1 0.500 0.500 0.000 1
# Space-group type: P4/mmm (123)
# Total energy in eV/cell: -16.239
# ΔE_f in kJ/mol of atoms: -37.8
# Magnetization in μB per formula unit: 0.0
# Offset from the most stable computed form in eV/atom: 0.000



# AgHg2BiBr4 PBE relaxed
data_AgHg2BiBr4
_cell_length_a 6.899
_cell_length_b 7.009
_cell_length_c 7.415
_cell_angle_alpha 94.94
_cell_angle_beta 111.31
_cell_angle_gamma 118.54
_symmetry_space_group_name_H-M 'P 1'
_symmetry_Int_Tables_number 1
_symmetry_space_group_name_Hall 'P 1'
loop_
_atom_site_label
_atom_site_fract_x
_atom_site_fract_y
_atom_site_fract_z
_atom_site_occupancy
Ag1 0.000 0.000 0.000 1
Hg1 0.468 0.577 0.726 1
Hg2 0.746 0.243 0.737 1
Bi1 0.927 0.502 0.437 1
Br1 0.108 0.942 0.699 1
Br2 0.141 0.736 0.213 1
Br3 0.474 0.438 0.230 1
Br4 0.753 0.071 0.170 1
# Space-group type: P1 (1)
# Total energy in eV/cell: -17.153
# Magnetization in μB per formula unit: 0.0



# Ba5Fe3 PBE relaxed
data_Ba5Fe3
_cell_length_a 9.682
_cell_length_b 9.682
_cell_length_c 7.510
_cell_angle_alpha 90.00
_cell_angle_beta 90.00
_cell_angle_gamma 120.00
_symmetry_space_group_name_H-M 'P 1'
_symmetry_Int_Tables_number 1
_symmetry_space_group_name_Hall 'P 1'
loop_
_atom_site_label
_atom_site_fract_x
_atom_site_fract_y
_atom_site_fract_z
_atom_site_occupancy
Ba1 0.000 0.259 0.250 1
Ba2 0.000 0.741 0.750 1
Ba3 0.259 0.000 0.250 1
Ba4 0.259 0.259 0.750 1
Ba5 0.333 0.667 0.000 1
Ba6 0.333 0.667 0.500 1
Ba7 0.667 0.333 0.000 1
Ba8 0.667 0.333 0.500 1
Ba9 0.741 0.000 0.750 1
Ba10 0.741 0.741 0.250 1
Fe1 0.000 0.405 0.750 1
Fe2 0.000 0.595 0.250 1
Fe3 0.405 0.000 0.750 1
Fe4 0.405 0.405 0.250 1
Fe5 0.595 0.000 0.250 1
Fe6 0.595 0.595 0.750 1
# Space-group type: P6_3/mcm (193)
# Total energy in eV/cell: -58.888
# ΔE_f in kJ/mol of atoms: 67.0
# Magnetization in μB per formula unit: 6.9



# LaTlCo2 PBE relaxed
data_LaTlCo2
_cell_length_a 4.907
_cell_length_b 4.907
_cell_length_c 4.907
_cell_angle_alpha 60.00
_cell_angle_beta 60.00
_cell_angle_gamma 60.00
_symmetry_space_group_name_H-M 'P 1'
_symmetry_Int_Tables_number 1
_symmetry_space_group_name_Hall 'P 1'
loop_
_atom_site_label
_atom_site_fract_x
_atom_site_fract_y
_atom_site_fract_z
_atom_site_occupancy
La1 0.000 0.000 0.000 1
Tl1 0.750 0.750 0.750 1
Co1 0.250 0.250 0.250 1
Co2 0.500 0.500 0.500 1
# Space-group type: F-43m (216)
# Total energy in eV/cell: -19.624
# ΔE_f in kJ/mol of atoms: 45.4
# Magnetization in μB per formula unit: 3.4
# Offset from the most stable computed form in eV/atom: 0.489



# Tb5Ho4Mg2 PBE relaxed
data_Tb5Ho4Mg2
_cell_length_a 3.470
_cell_length_b 8.639
_cell_length_c 11.435
_cell_angle_alpha 95.76
_cell_angle_beta 90.06
_cell_angle_gamma 101.51
_symmetry_space_group_name_H-M 'P 1'
_symmetry_Int_Tables_number 1
_symmetry_space_group_name_Hall 'P 1'
loop_
_atom_site_label
_atom_site_fract_x
_atom_site_fract_y
_atom_site_fract_z
_atom_site_occupancy
Tb1 0.000 0.000 0.000 1
Tb2 0.239 0.474 0.355 1
Tb3 0.322 0.645 0.924 1
Tb4 0.678 0.355 0.076 1
Tb5 0.761 0.526 0.645 1
Ho1 0.134 0.270 0.812 1
Ho2 0.461 0.922 0.715 1
Ho3 0.539 0.078 0.285 1
Ho4 0.866 0.730 0.188 1
Mg1 0.085 0.180 0.539 1
Mg2 0.915 0.820 0.461 1
# Space-group type: P-1 (2)
# Total energy in eV/cell: -44.348
# ΔE_f in kJ/mol of atoms: 2.7
# Magnetization in μB per formula unit: 0.0
# Offset from the most stable computed form in eV/atom: 0.000



# AgSe2NCl PBE relaxed
data_AgSe2NCl
_cell_length_a 5.462
_cell_length_b 5.462
_cell_length_c 3.343
_cell_angle_alpha 90.00
_cell_angle_beta 90.00
_cell_angle_gamma 90.00
_symmetry_space_group_name_H-M 'P 1'
_symmetry_Int_Tables_number 1
_symmetry_space_group_name_Hall 'P 1'
loop_
_atom_site_label
_atom_site_fract_x
_atom_site_fract_y
_atom_site_fract_z
_atom_site_occupancy
Ag1 0.000 0.000 0.000 1
Se1 0.000 0.500 0.500 1
Se2 0.500 0.000 0.500 1
N1 0.500 0.500 0.000 1
Cl1 0.500 0.500 0.500 1
# Space-group type: P4/mmm (123)
# Total energy in eV/cell: -12.817
# Magnetization in μB per formula unit: 0.0
# Offset from the most stable computed form in eV/atom: 0.111



# LaSm2Dy3P6 PBE relaxed
data_LaSm2Dy3P6
_cell_length_a 7.078
_cell_length_b 7.078
_cell_length_c 7.075
_cell_angle_alpha 99.59
_cell_angle_beta 99.59
_cell_angle_gamma 119.99
_symmetry_space_group_name_H-M 'P 1'
_symmetry_Int_Tables_number 1
_symmetry_space_group_name_Hall 'P 1'
loop_
_atom_site_label
_atom_site_fract_x
_atom_site_fract_y
_atom_site_fract_z
_atom_site_occupancy
La1 0.000 0.000 0.000 1
Sm1 0.333 0.667 0.000 1
Sm2 0.667 0.333 0.000 1
Dy1 0.166 0.834 0.500 1
Dy2 0.500 0.500 0.500 1
Dy3 0.834 0.166 0.500 1
P1 0.086 0.424 0.259 1
P2 0.251 0.251 0.742 1
P3 0.424 0.086 0.259 1
P4 0.576 0.914 0.741 1
P5 0.749 0.749 0.258 1
P6 0.914 0.576 0.741 1
# Space-group type: C2/m (12)
# Total energy in eV/cell: -79.640
# ΔE_f in kJ/mol of atoms: -152.8
# Magnetization in μB per formula unit: 0.0



# BeCr2Cu PBE relaxed
data_BeCr2Cu
_cell_length_a 3.245
_cell_length_b 3.367
_cell_length_c 3.966
_cell_angle_alpha 90.00
_cell_angle_beta 90.00
_cell_angle_gamma 90.00
_symmetry_space_group_name_H-M 'P 1'
_symmetry_Int_Tables_number 1
_symmetry_space_group_name_Hall 'P 1'
loop_
_atom_site_label
_atom_site_fract_x
_atom_site_fract_y
_atom_site_fract_z
_atom_site_occupancy
Be1 0.000 0.000 0.000 1
Cr1 0.000 0.500 0.500 1
Cr2 0.500 0.000 0.500 1
Cu1 0.500 0.500 0.000 1
# Space-group type: Pmmm (47)
# Total energy in eV/cell: -26.575
# ΔE_f in kJ/mol of atoms: 11.9
# Magnetization in μB per formula unit: 0.0



# SrMg2Au2 PBE relaxed
data_SrMg2Au2
_cell_length_a 7.008
_cell_length_b 7.008
_cell_length_c 7.008
_cell_angle_alpha 143.48
_cell_angle_beta 143.48
_cell_angle_gamma 52.61
_symmetry_space_group_name_H-M 'P 1'
_symmetry_Int_Tables_number 1
_symmetry_space_group_name_Hall 'P 1'
loop_
_atom_site_label
_atom_site_fract_x
_atom_site_fract_y
_atom_site_fract_z
_atom_site_occupancy
Sr1 0.000 0.000 0.000 1
Mg1 0.250 0.750 0.500 1
Mg2 0.750 0.250 0.500 1
Au1 0.386 0.386 0.000 1
Au2 0.614 0.614 0.000 1
# Space-group type: I4/mmm (139)
# Total energy in eV/cell: -14.643
# ΔE_f in kJ/mol of atoms: -62.1
# Magnetization in μB per formula unit: 0.0
# Offset from the most stable computed form in eV/atom: 0.000



# Ni2OsS4 PBE relaxed
data_Ni2OsS4
_cell_length_a 6.403
_cell_length_b 6.403
_cell_length_c 6.403
_cell_angle_alpha 136.47
_cell_angle_beta 136.47
_cell_angle_gamma 63.26
_symmetry_space_group_name_H-M 'P 1'
_symmetry_Int_Tables_number 1
_symmetry_space_group_name_Hall 'P 1'
loop_
_atom_site_label
_atom_site_fract_x
_atom_site_fract_y
_atom_site_fract_z
_atom_site_occupancy
Ni1 0.105 0.105 0.000 1
Ni2 0.895 0.895 0.000 1
Os1 0.500 0.500 0.000 1
S1 0.000 0.500 0.500 1
S2 0.293 0.293 0.000 1
S3 0.500 0.000 0.500 1
S4 0.707 0.707 0.000 1
# Space-group type: I4/mmm (139)
# Total energy in eV/cell: -36.544
# Magnetization in μB per formula unit: 1.5
# Offset from the most stable computed form in eV/atom: 0.676